This record from Alexandria via LeMat-Bulk describes Rb3Pu2SnSe6 after structural relaxation. The functional is PBE.

abc: 7.530 7.530 8.276
angles: 98.71 98.71 119.97
Site moments in Bohr magnetons follow the coordinates.
Element x y z (fractional)
1 Rb 0.161 0.839 0.500  0.00
2 Rb 0.839 0.161 0.500  0.00
3 Rb 0.500 0.500 0.500  0.00
4 Pu 0.333 0.667 0.000  4.92
5 Pu 0.667 0.333 0.000  4.92
6 Sn 0.000 0.000 0.000  -0.02
7 Se 0.935 0.586 0.805  -0.12
8 Se 0.716 0.716 0.193  -0.11
9 Se 0.065 0.414 0.195  -0.12
10 Se 0.586 0.935 0.805  -0.12
11 Se 0.284 0.284 0.807  -0.11
12 Se 0.414 0.065 0.195  -0.12

Computed properties:
Uncorrected formation energy ... -1.2267 eV/atom
M_tot ... 9.0 μB/f.u.
Calculated volume ... 32.3 Å³ per atom
E_tot ... -71.20 eV per formula unit
SG ... No. 12
Fermi-level density of states ... 1.95 states/eV/atom